(1)
Material: NdCuAs
Method: DFT, GGA-PBE
State: optimized geometry

a b c (Å): 4.165 4.151 4.151
angles (deg): 120.00 90.00 90.00
Positions (direct):
Cu  0.167  0.667  0.333
As  0.166  0.000  0.000
Nd  0.667  0.333  0.667

Results
Space-group type = P-6m2, No. 187
Calculated total energy = -0.199 Ha/atom
ΔE_f = -2.7 eV/f.u.
Fermi-level density of states = 0.5971 states/eV/atom

(2)
Material: Nd2CuAs
Method: DFT, GGA-PBE
State: optimized geometry

a b c (Å): 3.795 5.011 5.011
angles (deg): 90.00 90.00 90.00
Positions (direct):
Nd  0.000  0.000  0.500
Nd  0.000  0.500  0.000
Cu  0.500  0.000  0.000
As  0.500  0.500  0.500

Results
Space-group type = P4/mmm, No. 123
Calculated total energy = -0.192 Ha/atom
ΔE_f = -2.6 eV/f.u.
Fermi-level density of states = 0.7316 states/eV/atom
ΔE to the lowest computed polymorph = 36.8 meV/atom

Question: Which value of Fermi-level density of states does entry 1 give?
Answer: 0.5971 states/eV/atom